# Nd3Hg3PtAu2 | OQMD via LeMat-Bulk | PBE | optimized geometry
data_Nd3Hg3PtAu2
_cell_length_a 7.9356
_cell_length_b 7.9356
_cell_length_c 3.9577
_cell_angle_alpha 90.00
_cell_angle_beta 90.00
_cell_angle_gamma 120.00
_symmetry_space_group_name_H-M 'P 1'
_symmetry_Int_Tables_number 1
loop_
_symmetry_equiv_pos_as_xyz
'x,y,z'
loop_
_atom_site_label
_atom_site_type_symbol
_atom_site_fract_x
_atom_site_fract_y
_atom_site_fract_z
Pt1 Pt 0.0000 0.0000 0.0000
Hg1 Hg 0.7375 0.0000 0.5000
Hg2 Hg 0.0000 0.7375 0.5000
Hg3 Hg 0.2625 0.2625 0.5000
Au1 Au 0.6667 0.3333 0.5000
Au2 Au 0.3333 0.6667 0.5000
Nd1 Nd 0.3905 0.0000 0.0000
Nd2 Nd 0.6095 0.6095 0.0000
Nd3 Nd 0.0000 0.3905 0.0000
# - Energy: -3.768 eV/atom
# - Space group: P-62m (189)
# - ΔE_f: -683 meV per atom
# - Size of the total moment: 0.001 μB per formula unit